1:
Compound: K2N2F
Source: Alexandria via LeMat-Bulk
Functional: PBE
Structure: relaxed

```
K2N2F
1.0
-3.2630 -2.7954 -5.9379
-2.7932 -5.4093 4.0814
-2.8079 1.9289 0.6349
K N F
4 4 2
Direct
0.2278 0.7278 0.5000 K
0.7278 0.7722 0.5000 K
0.7722 0.2722 0.5000 K
0.2722 0.2278 0.5000 K
0.5573 0.0573 0.0000 N
0.0573 0.4427 0.0000 N
0.4427 0.9427 0.0000 N
0.9427 0.5573 0.0000 N
0.0000 0.0000 0.0000 F
0.5000 0.5000 0.0000 F
```

space group = P4/mbm (127)
spin magnetization = 0.20 μB per atom

---

2:
Compound: K2N2F
Source: Alexandria via LeMat-Bulk
Functional: PBE
Structure: relaxed

```
K2N2F
1.0
-1.5981 -3.4413 -0.8315
1.3621 -3.2849 1.9046
-5.2442 -0.9845 5.0806
N K F
2 2 1
Direct
0.5459 0.3582 0.5500 N
0.4541 0.6418 0.4500 N
0.2494 0.2860 0.2153 K
0.7506 0.7140 0.7847 K
0.0000 0.0000 0.0000 F
```

space group = C2/m (12)
spin magnetization = 0.09 μB per atom

---

Short version: 2 is the most stable of them.

---

1:
Compound: KNF3
Source: Alexandria via LeMat-Bulk
Functional: PBE
Structure: relaxed

```
KNF3
1.0
-0.2161 -2.4119 4.5674
-4.1378 -2.6552 -1.5979
3.0914 -3.7226 -1.8196
N F K
1 3 1
Direct
0.5000 0.5000 0.5000 N
0.0000 0.0000 0.5000 F
0.0000 0.5000 0.0000 F
0.5000 0.0000 0.0000 F
0.0000 0.0000 0.0000 K
```

space group = Pm-3m (221)
spin magnetization = 0.20 μB per atom

---

2:
Compound: KNF3
Source: Alexandria via LeMat-Bulk
Functional: PBE
Structure: relaxed

```
KNF3
1.0
3.9312 0.0000 0.0000
0.0000 3.9312 0.0000
0.0000 0.0000 3.9312
F N K
3 1 1
Direct
0.0000 0.5000 0.0000 F
0.0000 0.0000 0.5000 F
0.5000 0.0000 0.0000 F
0.0000 0.0000 0.0000 N
0.5000 0.5000 0.5000 K
```

space group = Pm-3m (221)
spin magnetization = 0.19 μB per atom

---

Short version: 2 is the most stable of them.

---

1:
Compound: KN2F
Source: Alexandria via LeMat-Bulk
Functional: PBE
Structure: relaxed

```
KN2F
1.0
0.0000 3.3331 3.3331
3.3331 0.0000 3.3331
3.3331 3.3331 0.0000
F N K
1 2 1
Direct
0.0000 0.0000 0.0000 F
0.2500 0.2500 0.2500 N
0.7500 0.7500 0.7500 N
0.5000 0.5000 0.5000 K
```

space group = Fm-3m (225)
spin magnetization = 1.50 μB per atom

---

2:
Compound: KN2F
Source: Alexandria via LeMat-Bulk
Functional: PBE
Structure: relaxed

```
KN2F
1.0
-5.3164 0.1132 1.4152
-2.4592 -0.8892 4.8416
-2.7751 3.4080 3.3111
K F N
1 1 2
Direct
0.5000 0.5000 0.5000 K
0.0000 0.0000 0.0000 F
0.1219 0.1219 0.1219 N
0.8781 0.8781 0.8781 N
```

space group = R-3m (166)
spin magnetization = 1.00 μB per atom

---

Short version: 1 is the most stable of them.

---

1:
Compound: KNF6
Source: Alexandria via LeMat-Bulk
Functional: PBE
Structure: relaxed

```
KNF6
1.0
4.8427 -0.8173 -1.5942
-1.9801 4.8948 -0.5351
-0.8721 0.2227 5.2384
F N K
6 1 1
Direct
0.2034 0.8370 0.1344 F
0.7082 0.7181 0.7206 F
0.2015 0.1326 0.8354 F
0.2918 0.2819 0.2794 F
0.7966 0.1630 0.8656 F
0.7985 0.8674 0.1646 F
0.0000 0.0000 0.0000 N
0.0000 0.5000 0.5000 K
```

space group = P-1 (2)
spin magnetization = 0.00 μB per atom

---

2:
Compound: KNF6
Source: Alexandria via LeMat-Bulk
Functional: PBE
Structure: relaxed

```
KNF6
1.0
-1.3075 -1.0960 -4.5198
4.6050 0.9155 -1.1383
1.7579 -4.4367 -0.4345
F K N
6 1 1
Direct
0.7499 0.0658 0.2383 F
0.2501 0.9342 0.7617 F
0.9342 0.2501 0.7617 F
0.7832 0.7832 0.9185 F
0.0658 0.7499 0.2383 F
0.2168 0.2168 0.0815 F
0.5000 0.5000 0.5000 K
0.0000 0.0000 0.0000 N
```

space group = C2/m (12)
spin magnetization = 0.00 μB per atom

---

Short version: 1 is the most stable of them.